# 1
IrN | PBE-GGA | relaxed

Values from the calculation:
Space group: P4_2/mmc (131)
Energy relative to the lowest polymorph listed for this composition: 0 meV per atom

```
4
Lattice="2.738 0.000 0.000 0.000 2.738 0.000 0.000 0.000 6.050" Properties=species:S:1:pos:R:3 pbc="T T T"
Ir 0.000 1.369 0.000
Ir 1.369 0.000 3.025
N 0.000 0.000 1.513
N 0.000 0.000 4.538
```



# 2
IrN | PBE-GGA | relaxed

Values from the calculation:
Space group: Pmma (51)
Energy relative to the lowest polymorph listed for this composition: 519 meV per atom

```
8
Lattice="5.529 0.000 0.000 0.000 3.126 0.000 0.000 0.000 6.638" Properties=species:S:1:pos:R:3 pbc="T T T"
Ir 0.000 0.000 0.000
Ir 1.382 1.563 2.008
Ir 2.765 0.000 0.000
Ir 4.147 1.563 4.630
N 1.382 0.000 3.013
N 1.382 1.563 0.020
N 4.147 0.000 3.625
N 4.147 1.563 6.618
```



# 3
IrN2 | PBE-GGA | relaxed

Values from the calculation:
Space group: Fm-3m (225)

```
3
Lattice="0.000 2.434 2.434 2.434 0.000 2.434 2.434 2.434 0.000" Properties=species:S:1:pos:R:3 pbc="T T T"
Ir 0.000 0.000 0.000
N 1.217 1.217 1.217
N 3.650 3.650 3.650
```



# 4
IrN | PBE-GGA | relaxed

Values from the calculation:
Space group: Pm-3m (221)
Energy relative to the lowest polymorph listed for this composition: 1135 meV per atom

```
2
Lattice="2.748 0.000 0.000 0.000 2.748 0.000 0.000 0.000 2.748" Properties=species:S:1:pos:R:3 pbc="T T T"
Ir 0.000 0.000 0.000
N 1.374 1.374 1.374
```



# 5
IrN2 | PBE-GGA | relaxed

Values from the calculation:
Space group: Fd-3m (227)

```
6
Lattice="0.000 4.222 4.222 4.222 0.000 4.222 4.222 4.222 0.000" Properties=species:S:1:pos:R:3 pbc="T T T"
Ir 1.055 1.055 1.055
Ir 7.388 7.388 7.388
N 0.000 0.000 0.000
N 2.111 2.111 0.000
N 2.111 0.000 2.111
N 0.000 2.111 2.111
```



# 6
Ir2N | PBE-GGA | relaxed

Values from the calculation:
Space group: Fd-3m (227)
Energy relative to the lowest polymorph listed for this composition: 586 meV per atom

```
6
Lattice="0.000 4.348 4.348 4.348 0.000 4.348 4.348 4.348 0.000" Properties=species:S:1:pos:R:3 pbc="T T T"
Ir 0.000 0.000 0.000
Ir 2.174 2.174 0.000
Ir 2.174 0.000 2.174
Ir 0.000 2.174 2.174
N 1.087 1.087 1.087
N 7.608 7.608 7.608
```



# 7
IrN | PBE-GGA | relaxed

Values from the calculation:
Space group: P6_3/mmc (194)
Energy relative to the lowest polymorph listed for this composition: 654 meV per atom

```
4
Lattice="3.075 0.000 0.000 -1.537 2.663 0.000 0.000 0.000 5.205" Properties=species:S:1:pos:R:3 pbc="T T T"
Ir 0.000 0.000 0.000
Ir 0.000 0.000 2.603
N 0.000 1.775 1.301
N 1.537 0.888 3.904
```



# 8
NaIr3N5 | PBE-GGA | relaxed

Values from the calculation:
Space group: P6/mmm (191)

```
9
Lattice="5.370 0.000 0.000 -2.685 4.650 0.000 0.000 0.000 4.134" Properties=species:S:1:pos:R:3 pbc="T T T"
Na 0.000 0.000 0.000
Ir -1.342 2.325 2.067
Ir 2.685 0.000 2.067
Ir 1.342 2.325 2.067
N 0.000 0.000 2.067
N 0.000 3.100 0.667
N 0.000 3.100 3.467
N 2.685 1.550 0.667
N 2.685 1.550 3.467
```



# 9
Na3SrIr2N2 | PBE-GGA | relaxed

Values from the calculation:
Space group: C2 (5)

```
8
Lattice="5.380 -5.059 0.000 5.380 5.059 0.000 -1.129 0.000 3.579" Properties=species:S:1:pos:R:3 pbc="T T T"
Na 0.000 0.000 0.000
Na 2.378 2.279 1.866
Na 7.254 2.279 1.713
Sr 4.816 -0.610 1.790
Ir 1.726 -0.243 3.055
Ir 7.906 -0.243 0.525
N 2.248 -0.240 1.255
N 7.383 -0.240 2.325
```



# 10
NbIrNO | PBE-GGA | relaxed

Values from the calculation:
Space group: P4/nmm (129)
Energy relative to the lowest polymorph listed for this composition: 676 meV per atom

```
8
Lattice="4.072 0.000 0.000 0.000 4.072 0.000 0.000 0.000 5.682" Properties=species:S:1:pos:R:3 pbc="T T T"
Nb 1.018 3.054 0.000
Nb 3.054 1.018 0.000
Ir 1.018 1.018 2.127
Ir 3.054 3.054 3.555
N 1.018 1.018 5.092
N 3.054 3.054 0.590
O 1.018 3.054 2.841
O 3.054 1.018 2.841
```



# 11
NbIrNO | PBE-GGA | relaxed

Values from the calculation:
Space group: Pmc2_1 (26)
Energy relative to the lowest polymorph listed for this composition: 274 meV per atom

```
8
Lattice="3.205 0.000 0.000 0.000 5.606 0.000 0.000 0.000 5.877" Properties=species:S:1:pos:R:3 pbc="T T T"
Nb 0.000 1.246 0.000
Nb 0.000 4.360 2.939
Ir 1.602 1.655 3.703
Ir 1.602 3.951 0.764
N 0.000 0.456 3.995
N 0.000 5.151 1.057
O 1.602 1.891 1.127
O 1.602 3.715 4.066
```



# 12
NbIrNO | PBE-GGA | relaxed

Values from the calculation:
Space group: Pmc2_1 (26)
Energy relative to the lowest polymorph listed for this composition: 0 meV per atom

```
8
Lattice="3.571 0.000 0.000 0.000 6.298 0.000 0.000 0.000 5.205" Properties=species:S:1:pos:R:3 pbc="T T T"
Nb 0.000 1.330 0.000
Nb 0.000 4.968 2.602
Ir 1.785 2.952 2.828
Ir 1.785 3.346 0.225
N 1.785 1.601 4.265
N 1.785 4.697 1.663
O 0.000 0.488 1.659
O 0.000 5.810 4.261
```



# 13
NbIrNO | PBE-GGA | relaxed

Values from the calculation:
Space group: P4/nmm (129)
Energy relative to the lowest polymorph listed for this composition: 622 meV per atom

```
8
Lattice="3.713 0.000 0.000 0.000 3.713 0.000 0.000 0.000 6.536" Properties=species:S:1:pos:R:3 pbc="T T T"
Nb 0.928 0.928 1.084
Nb 2.785 2.785 5.452
Ir 0.928 2.785 3.268
Ir 2.785 0.928 3.268
N 0.928 0.928 4.566
N 2.785 2.785 1.971
O 0.928 2.785 0.000
O 2.785 0.928 0.000
```



# 14
NbIrNO | PBE-GGA | relaxed

Values from the calculation:
Space group: P4/nmm (129)
Energy relative to the lowest polymorph listed for this composition: 622 meV per atom

```
8
Lattice="3.707 0.000 0.000 0.000 3.707 0.000 0.000 0.000 6.558" Properties=species:S:1:pos:R:3 pbc="T T T"
Nb 0.927 0.927 1.092
Nb 2.780 2.780 5.466
Ir 0.927 2.780 3.279
Ir 2.780 0.927 3.279
N 0.927 0.927 4.577
N 2.780 2.780 1.981
O 0.927 2.780 0.000
O 2.780 0.927 0.000
```



# 15
Sr2NbIrN4O2 | PBE-GGA | relaxed

Values from the calculation:
Space group: P1 (1)
Energy relative to the lowest polymorph listed for this composition: 14 meV per atom

```
20
Lattice="5.658 0.000 0.000 0.023 5.673 0.000 0.017 0.045 8.020" Properties=species:S:1:pos:R:3 pbc="T T T"
Sr 0.000 0.000 0.000
Sr 0.091 0.047 4.000
Sr 2.894 2.863 0.002
Sr 2.997 2.871 3.966
Nb 0.137 2.966 6.074
Nb 2.898 0.059 1.987
Ir 0.083 2.718 2.023
Ir 2.877 5.690 5.854
N 0.051 2.703 0.033
N 0.135 3.073 3.880
N 1.496 4.389 6.103
N 1.553 1.525 2.059
N 1.631 1.487 5.892
N 2.893 5.548 3.961
N 4.264 4.354 6.051
N 4.415 1.367 2.100
O 1.380 4.356 1.747
O 3.008 0.268 7.955
O 4.195 4.119 1.830
O 4.408 1.434 5.731
```



# 16
Sr2NbIrN4O2 | PBE-GGA | relaxed

Values from the calculation:
Space group: P1 (1)
Energy relative to the lowest polymorph listed for this composition: 0 meV per atom

```
20
Lattice="5.644 0.000 0.000 0.072 5.649 0.000 0.033 0.048 8.069" Properties=species:S:1:pos:R:3 pbc="T T T"
Sr 0.000 0.000 0.000
Sr 0.123 5.657 4.040
Sr 2.982 2.741 0.002
Sr 3.071 2.763 4.033
Nb 0.197 2.848 6.036
Nb 2.939 5.590 2.039
Ir 0.213 2.869 1.858
Ir 2.929 5.563 6.216
N 0.166 2.712 8.061
N 1.482 4.258 1.885
N 1.543 4.291 6.188
N 1.546 1.508 2.117
N 1.680 1.405 5.955
N 2.910 0.066 0.013
N 4.294 4.205 6.145
N 4.361 4.076 1.933
O 0.135 2.969 4.010
O 2.999 5.453 4.064
O 4.453 1.288 5.933
O 4.454 1.298 2.143
```



# 17
Sr2NbIrN4O2 | PBE-GGA | relaxed

Values from the calculation:
Space group: P1 (1)
Energy relative to the lowest polymorph listed for this composition: 33 meV per atom

```
20
Lattice="5.665 0.000 0.000 -0.011 5.673 0.000 -0.015 -0.012 8.001" Properties=species:S:1:pos:R:3 pbc="T T T"
Sr 0.000 0.000 0.000
Sr 0.025 5.647 4.059
Sr 2.886 2.892 0.011
Sr 2.950 2.866 4.049
Nb 0.086 2.807 6.034
Nb 2.888 0.006 2.086
Ir 0.054 2.841 1.901
Ir 2.800 0.082 6.051
N 0.052 2.720 0.008
N 1.418 1.481 2.136
N 1.420 4.244 1.934
N 1.554 1.554 5.921
N 2.852 5.567 4.140
N 2.862 0.128 7.940
N 4.317 4.242 1.933
N 4.325 1.477 2.093
O 5.649 3.064 4.031
O 1.239 4.476 6.122
O 4.095 4.118 6.138
O 4.375 1.305 5.879
```



# 18
Sr2NbIrN4O2 | PBE-GGA | relaxed

Values from the calculation:
Space group: P1 (1)
Energy relative to the lowest polymorph listed for this composition: 53 meV per atom

```
20
Lattice="5.649 0.000 0.000 0.012 5.654 0.000 0.029 0.027 8.052" Properties=species:S:1:pos:R:3 pbc="T T T"
Sr 0.000 0.000 0.000
Sr 0.067 0.023 4.036
Sr 2.911 2.822 0.011
Sr 2.976 2.829 4.035
Nb 0.097 2.824 5.997
Nb 2.882 5.647 2.145
Ir 0.159 2.907 1.862
Ir 2.900 5.658 6.190
N 0.127 2.702 0.018
N 1.390 4.346 1.955
N 1.522 1.380 5.919
N 1.537 4.267 6.105
N 2.825 0.151 0.021
N 2.963 5.564 4.054
N 4.287 1.410 5.995
N 4.303 4.297 6.156
O 1.652 1.638 2.152
O 4.253 4.142 1.788
O 4.517 1.322 2.066
O 5.644 3.012 3.938
```



# 19
Sr4NbIr3N4O8 | PBE-GGA | relaxed

Values from the calculation:
Space group: P4/m (83)

```
20
Lattice="5.690 0.000 0.000 0.000 5.690 0.000 0.000 0.000 7.813" Properties=species:S:1:pos:R:3 pbc="T T T"
Sr 0.000 2.845 1.951
Sr 0.000 2.845 5.862
Sr 2.845 0.000 1.951
Sr 2.845 0.000 5.862
Nb 0.000 0.000 0.000
Ir 0.000 0.000 3.906
Ir 2.845 2.845 0.000
Ir 2.845 2.845 3.906
N 0.000 0.000 2.012
N 0.000 0.000 5.801
N 2.845 2.845 1.969
N 2.845 2.845 5.844
O 1.050 1.790 3.906
O 1.213 4.054 0.000
O 1.636 1.213 0.000
O 1.790 4.640 3.906
O 3.900 1.050 3.906
O 4.054 4.478 0.000
O 4.478 1.636 0.000
O 4.640 3.900 3.906
```



# 20
Sr2NbIrN4O2 | PBE-GGA | relaxed

Values from the calculation:
Space group: P1 (1)
Energy relative to the lowest polymorph listed for this composition: 53 meV per atom

```
20
Lattice="5.645 0.000 0.000 0.009 5.657 0.000 0.017 0.009 8.057" Properties=species:S:1:pos:R:3 pbc="T T T"
Sr 0.000 0.000 0.000
Sr 0.072 5.652 4.035
Sr 2.805 2.891 8.046
Sr 2.851 2.881 4.025
Nb 2.838 0.032 6.089
Nb 5.628 2.817 1.879
Ir 2.906 0.076 2.159
Ir 5.657 2.829 5.900
N 0.082 2.677 4.017
N 1.401 1.460 6.163
N 1.415 4.227 5.991
N 2.801 0.121 4.017
N 4.141 1.495 1.953
N 4.283 1.450 6.116
N 4.298 4.219 5.932
N 5.648 2.962 8.033
O 1.365 1.270 1.872
O 1.620 4.122 2.118
O 2.913 5.463 0.098
O 4.411 4.419 2.230
```



# 21
Sr2NbIrN4O2 | PBE-GGA | relaxed

Values from the calculation:
Space group: P1 (1)
Energy relative to the lowest polymorph listed for this composition: 9 meV per atom

```
20
Lattice="5.633 0.000 0.000 -0.052 5.643 0.000 -0.001 -0.019 8.085" Properties=species:S:1:pos:R:3 pbc="T T T"
Sr 0.000 0.000 0.000
Sr 0.083 0.004 4.042
Sr 2.774 2.773 0.045
Sr 2.889 2.771 4.078
Nb 0.040 2.770 6.054
Nb 2.848 5.560 2.068
Ir 2.790 0.030 6.235
Ir 5.583 2.850 1.875
N -0.017 2.941 8.078
N 1.376 1.300 6.203
N 1.439 4.033 2.145
N 1.560 4.179 5.960
N 2.831 5.458 0.008
N 4.116 1.429 6.178
N 4.221 1.492 1.929
N 4.304 4.246 2.131
O -0.008 2.602 4.022
O 1.308 1.263 1.834
O 2.781 0.208 4.062
O 4.332 4.371 5.891
```



no.,total energy (eV per formula unit)
1,-16.075
2,-15.037
3,-22.232
4,-13.806
5,-22.215
6,-21.032
7,-14.768
8,-61.783
9,-41.413
10,-32.958
11,-34.566
12,-35.662
13,-33.173
14,-33.172
15,-74.733
16,-74.878
17,-74.544
18,-74.350
19,-142.586
20,-74.353
21,-74.788